DFT (PBE) results for a relaxed structure of Mo3Ru.

```
Mo3Ru
1.0
3.111 0.000 0.000
0.000 4.447 0.000
0.000 0.000 4.479
Mo Ru
3 1
direct
0.000 0.000 0.000
0.000 0.500 0.488
0.500 0.500 0.010
0.500 0.000 0.526
```

## Properties
**DFT total energy**: -10.299 eV/atom
**E_form**: 55 kJ/mol of formula units
**Volume**: 15.49 Å³ per atom
**D(E_F)**: 5.4 states/eV per cell

***

DFT (PBE) results for a relaxed structure of Pm6TlIr2Br3.

```
Pm6TlIr2Br3
1.0
10.125 -2.067 0.000
10.125 2.067 0.000
-2.678 0.000 8.736
Pm Tl Ir Br
6 1 2 3
direct
0.029 0.029 0.268
0.316 0.316 0.432
0.336 0.336 0.868
0.664 0.664 0.132
0.684 0.684 0.568
0.971 0.971 0.732
0.500 0.500 0.000
0.170 0.170 0.346
0.830 0.830 0.654
0.170 0.170 0.847
0.500 0.500 0.500
0.830 0.830 0.153
```

## Properties
**DFT total energy**: -5.442 eV/atom
**Uncorrected formation energy**: -0.97 eV per atom
**Volume**: 30.47 Å³ per atom
**D(E_F)**: 6.1 states/eV per cell

***

DFT (PBE) results for a relaxed structure of CaAsP2.

```
CaAsP2
1.0
4.677 -1.963 0.000
4.677 1.963 0.000
-1.269 0.000 4.515
Ca As P
1 1 2
direct
0.000 0.000 0.000
0.500 0.500 0.500
0.231 0.231 0.616
0.769 0.769 0.384
```

## Properties
**DFT total energy**: -4.678 eV/atom
**E_form**: -120 kJ/mol of formula units
**Volume**: 20.73 Å³ per atom
**D(E_F)**: 1.6 states/eV per cell

***

DFT (PBE) results for a relaxed structure of Dy2ScPt.

```
Dy2ScPt
1.0
3.598 0.000 0.000
0.000 3.598 0.000
0.000 0.000 7.585
Dy Sc Pt
2 1 1
direct
0.000 0.000 0.215
0.000 0.000 0.785
0.500 0.500 0.500
0.500 0.500 0.000
```

## Properties
**DFT total energy**: -5.966 eV/atom
**E_form**: -221 kJ/mol of formula units
**Volume**: 24.55 Å³ per atom
**D(E_F)**: 5.1 states/eV per cell

***

DFT (PBE) results for a relaxed structure of RbAs2Se4.

```
RbAs2Se4
1.0
7.235 0.000 0.000
-0.222 7.365 0.000
-3.599 -3.161 9.101
Rb As Se
2 4 8
direct
0.000 0.000 0.000
0.353 0.732 0.550
0.330 0.354 0.922
0.658 0.265 0.612
0.677 0.287 0.257
0.801 0.860 0.362
0.064 0.040 0.357
0.380 0.445 0.188
0.477 0.079 0.898
0.501 0.015 0.273
0.577 0.606 0.915
0.814 0.478 0.525
0.842 0.450 0.876
0.844 0.001 0.630
```

## Properties
**DFT total energy**: -3.837 eV/atom
**Uncorrected formation energy**: -0.38 eV per atom
**Volume**: 34.64 Å³ per atom
**Polymorph energy (0 for the lowest one)**: 0 meV/atom

***

DFT (PBE) results for a relaxed structure of Li2ScTa.

```
Li2ScTa
1.0
1.450 0.837 10.595
-1.450 0.837 10.595
0.000 -1.674 10.595
Li Sc Ta
2 1 1
direct
0.247 0.247 0.247
0.753 0.753 0.753
0.000 0.000 0.000
0.500 0.500 0.500
```

## Properties
**DFT total energy**: -5.144 eV/atom
**E_form**: 139 kJ/mol of formula units
**Volume**: 19.28 Å³ per atom
**Polymorph energy (0 for the lowest one)**: 180 meV/atom
**D(E_F)**: 3.0 states/eV per cell

***

Q: DFT total energy of number 5 (RbAs2Se4)?
A: -3.837 eV/atom

***

Q: Look up the volume of the fifth one.
A: 34.64 Å³ per atom

***

Q: Which of these has the highest DFT total energy?
A: RbAs2Se4